Entry 1:
Below is a geometry-optimized MnCu2IO6 structure, with properties calculated at the PBE+U level.

CIF file:
```
data_MnCu2IO6
_chemical_formula_sum 'Mn4 Cu8 I4 O24'
_symmetry_space_group_name_H-M 'C 1 2/c 1'
_symmetry_Int_Tables_number 15
_cell_length_a 10.103
_cell_length_b 9.234
_cell_length_c 5.372
_cell_angle_alpha 90.00
_cell_angle_beta 100.47
_cell_angle_gamma 90.00
loop_
_symmetry_equiv_pos_as_xyz
'x,y,z'
'-x,-y,-z'
'-x,y,-z+1/2'
'x,-y,z+1/2'
'x+1/2,y+1/2,z'
'-x+1/2,-y+1/2,-z'
'-x+1/2,y+1/2,-z+1/2'
'x+1/2,-y+1/2,z+1/2'
loop_
_atom_site_label
_atom_site_type_symbol
_atom_site_fract_x
_atom_site_fract_y
_atom_site_fract_z
_atom_site_occupancy
Mn1 Mn 0.000 0.087 0.250 1
Cu1 Cu 0.201 0.395 0.332 1
I1 I 0.000 0.281 0.750 1
O1 O 0.103 0.249 0.117 1
O2 O 0.108 0.073 0.597 1
O3 O 0.126 0.416 0.660 1
```

## Properties
Uncorrected energy   -5.318 eV per atom

---

Entry 2:
Below is a geometry-optimized Mn2CuIO6 structure, with properties calculated at the PBE+U level.

CIF file:
```
data_Mn2CuIO6
_chemical_formula_sum 'Mn6 Cu3 I3 O18'
_symmetry_space_group_name_H-M 'R 3'
_symmetry_Int_Tables_number 146
_symmetry_space_group_name_Hall 'R 3'
_cell_length_a 5.4380
_cell_length_b 5.4380
_cell_length_c 14.8412
_cell_angle_alpha 90.00
_cell_angle_beta 90.00
_cell_angle_gamma 120.00
loop_
_atom_site_label
_atom_site_type_symbol
_atom_site_fract_x
_atom_site_fract_y
_atom_site_fract_z
_atom_site_occupancy
Mn1 Mn 0.0000 0.0000 0.0000 1
Mn2 Mn 0.0000 0.0000 0.4827 1
Cu1 Cu 0.0000 0.0000 0.2569 1
I1 I 0.0000 0.0000 0.6875 1
O1 O 0.0008 0.7142 0.6017 1
O2 O 0.0176 0.3088 0.7541 1
```

## Properties
Uncorrected energy   -5.911 eV per atom